No. 1
Compound: CeYHf2
Source: the Alexandria database
Functional: PBE
Structure: optimized geometry

Computed properties:
space group: P4/mmm (123)
N(E_F): 1.483 states/eV per atom
VASP energy: -7.88 eV/atom

abc: 4.6694 4.6694 4.7437
angles: 90.00 90.00 90.00
Closest atoms and distances in Å follow each position.
Element x y z (fractional)
Ce 0.0000 0.0000 0.0000  4 Y 3.30, 8 Hf 3.33
Y 0.5000 0.5000 0.0000  4 Ce 3.30, 8 Hf 3.33
Hf 0.0000 0.5000 0.5000  4 Hf 3.30, 4 Ce 3.33, 4 Y 3.33
Hf 0.5000 0.0000 0.5000  4 Hf 3.30, 4 Ce 3.33, 4 Y 3.33

---

No. 2
Compound: Te2OsCl12
Source: the Alexandria database
Functional: PBE
Structure: optimized geometry

Computed properties:
space group: P-1 (2)
N(E_F): 0.362 states/eV per atom
E_form (uncorrected): -0.519 eV per atom

abc: 6.7662 7.1500 11.5446
angles: 72.26 87.87 62.72
Closest atoms and distances in Å follow each position.
Element x y z (fractional)
Te 0.2346 0.0089 0.2345  3 Cl 2.35-2.36
Te 0.7654 0.9911 0.7655  3 Cl 2.35-2.36
Os 0.5000 0.5000 0.0000  6 Cl 2.34-2.35
Cl 0.0108 0.2454 0.3435  1 Te 2.35
Cl 0.0707 0.7715 0.2930  1 Te 2.35
Cl 0.1091 0.7159 0.9819  1 Os 2.35
Cl 0.4491 0.2760 0.9046  1 Os 2.35
Cl 0.4742 0.2145 0.6012  1 Te 2.36
Cl 0.4889 0.2692 0.1911  1 Os 2.34
Cl 0.5111 0.7308 0.8089  1 Os 2.34
Cl 0.5258 0.7855 0.3988  1 Te 2.36
Cl 0.5509 0.7240 0.0954  1 Os 2.35
Cl 0.8909 0.2841 0.0181  1 Os 2.35
Cl 0.9293 0.2285 0.7070  1 Te 2.35
Cl 0.9892 0.7546 0.6565  1 Te 2.35

---

No. 3
Compound: NbReNi3
Source: the Alexandria database
Functional: PBE
Structure: optimized geometry

Computed properties:
space group: Pm-3m (221)
N(E_F): 1.476 states/eV per atom
VASP energy: -6.66 eV/atom

abc: 4.4134 4.4134 4.4134
angles: 90.00 90.00 90.00
Closest atoms and distances in Å follow each position.
Element x y z (fractional)
Nb 0.0000 0.0000 0.0000  12 Ni 3.12
Re 0.5000 0.5000 0.5000  6 Ni 2.21
Ni 0.0000 0.5000 0.5000  2 Re 2.21
Ni 0.5000 0.0000 0.5000  2 Re 2.21
Ni 0.5000 0.5000 0.0000  2 Re 2.21

---

No. 4
Compound: BaLiErSe3
Source: the Alexandria database
Functional: PBE
Structure: optimized geometry

Computed properties:
space group: P2_1/m (11)
E_form (uncorrected): -1.810 eV per atom

abc: 8.8272 4.2388 9.3034
angles: 90.00 105.65 90.00
Closest atoms and distances in Å follow each position.
Element x y z (fractional)
Ba 0.1978 0.2500 0.2453  7 Se 3.33-3.42, 1 Li 3.62
Ba 0.8022 0.7500 0.7547  7 Se 3.33-3.42, 1 Li 3.62
Li 0.0860 0.2500 0.5918  4 Se 2.52-2.58
Li 0.9140 0.7500 0.4082  4 Se 2.52-2.58
Er 0.3274 0.7500 0.8425  6 Se 2.83-2.89
Er 0.6726 0.2500 0.1575  6 Se 2.83-2.89
Se 0.1155 0.2500 0.8689  1 Li 2.52
Se 0.2134 0.7500 0.5273  3 Li 2.55-2.58, 1 Er 2.83
Se 0.4521 0.7500 0.1621  3 Er 2.88-2.89
Se 0.5479 0.2500 0.8379  3 Er 2.88-2.89
Se 0.7866 0.2500 0.4727  3 Li 2.55-2.58, 1 Er 2.83
Se 0.8845 0.7500 0.1311  1 Li 2.52

---

Calculated volume values (in Å³/atom) by entry order: 25.857; 31.287; 17.193; 27.932.